CrPdF2: optimized geometry, PBE with a Hubbard U.

Lattice parameters (Å, degrees): 4.5921 4.5921 12.3433 90.00 90.00 90.00
Element x y z (fractional)
Cr  0.0000  0.0000  0.0000
Cr  0.0000  0.5000  0.2500
Cr  0.5000  0.0000  0.7500
Cr  0.5000  0.5000  0.5000
Pd  0.0000  0.0000  0.5000
Pd  0.0000  0.5000  0.7500
Pd  0.5000  0.0000  0.2500
Pd  0.5000  0.5000  0.0000
F  0.1541  0.2500  0.1250
F  0.2500  0.6541  0.3750
F  0.2500  0.8459  0.8750
F  0.3459  0.2500  0.6250
F  0.6541  0.7500  0.6250
F  0.7500  0.1541  0.8750
F  0.7500  0.3459  0.3750
F  0.8459  0.7500  0.1250

Results
- Space group: I-42d
- DOS at the Fermi energy: 0.61 states/eV per atom
- Relative energy among the computed polymorphs: 269 meV/atom